1.
Entry from Alexandria: Sm2O at its PBEsol-relaxed geometry (SCAN).

a b c (Å): 4.828 4.828 6.349
angles (deg): 112.34 112.34 90.00
Fractional coordinates of all 6 atoms:
O 0.500 0.500 0.000
O 0.750 0.250 0.500
Sm 0.265 0.265 0.531
Sm 0.735 0.735 0.469
Sm 0.985 0.485 0.969
Sm 0.515 0.015 0.031

For the raw formation energy, the calculation gives -2.05 eV per atom. As for the distance to the lowest polymorph of the same formula: 0.00 kcal/mol of atoms.

***

2.
Entry from Alexandria: Tc2HgSe at its PBEsol-relaxed geometry (SCAN).

a b c (Å): 2.968 4.938 5.295
angles (deg): 117.80 106.28 90.00
Fractional coordinates of all 4 atoms:
Hg 0.000 0.500 0.000
Se 0.500 0.000 0.000
Tc 0.783 0.783 0.567
Tc 0.217 0.217 0.433

For the raw formation energy, the calculation gives 0.67 eV per atom.

***

3.
Entry from Alexandria: Na4SnO4 at its PBEsol-relaxed geometry (SCAN).

a b c (Å): 5.872 5.891 8.844
angles (deg): 82.28 71.03 68.72
Last column: magnetic moment on the atom in μB.
Fractional coordinates of all 18 atoms:
Na 0.256 0.243 0.008  0.00
Na 0.744 0.757 0.992  0.00
Na 0.020 0.263 0.435  0.00
Na 0.980 0.737 0.565  0.00
Na 0.438 0.248 0.596  0.00
Na 0.562 0.752 0.404  0.00
Na 0.113 0.721 0.195  0.00
Na 0.887 0.279 0.805  0.00
Sn 0.341 0.722 0.765  -0.01
Sn 0.659 0.278 0.235  -0.01
O 0.124 0.517 0.806  0.06
O 0.876 0.483 0.194  0.06
O 0.800 0.014 0.380  0.02
O 0.200 0.986 0.620  0.02
O 0.321 0.480 0.372  0.03
O 0.679 0.520 0.628  0.03
O 0.351 0.841 0.957  0.01
O 0.649 0.159 0.043  0.01

For the raw formation energy, the calculation gives -1.70 eV per atom.

***

4.
Entry from Alexandria: Y2Co2O7 at its PBEsol-relaxed geometry (SCAN).

a b c (Å): 6.895 6.895 6.895
angles (deg): 60.00 60.00 60.00
Last column: magnetic moment on the atom in μB.
Fractional coordinates of all 22 atoms:
Y 0.125 0.625 0.125  0.02
Y 0.125 0.125 0.625  0.02
Y 0.125 0.125 0.125  0.02
Y 0.625 0.125 0.125  0.02
Co 0.625 0.125 0.625  0.62
Co 0.625 0.625 0.125  0.62
Co 0.625 0.625 0.625  0.62
Co 0.125 0.625 0.625  0.62
O 0.250 0.250 0.250  0.01
O 0.000 0.000 0.000  0.01
O 0.953 0.547 0.953  0.10
O 0.703 0.297 0.703  0.10
O 0.953 0.953 0.547  0.10
O 0.953 0.547 0.547  0.10
O 0.547 0.953 0.953  0.10
O 0.547 0.547 0.953  0.10
O 0.547 0.953 0.547  0.10
O 0.703 0.297 0.297  0.10
O 0.297 0.703 0.703  0.10
O 0.297 0.703 0.297  0.10
O 0.703 0.703 0.297  0.10
O 0.297 0.297 0.703  0.10

For the raw formation energy, the calculation gives -2.43 eV per atom.

***

5.
Entry from Alexandria: Bi2W2O9 at its PBEsol-relaxed geometry (SCAN).

a b c (Å): 5.408 5.408 23.846
angles (deg): 90.00 90.00 90.00
Fractional coordinates of all 52 atoms:
Bi 0.647 0.020 0.290
Bi 0.353 0.980 0.790
Bi 0.853 0.520 0.790
Bi 0.147 0.480 0.290
Bi 0.647 0.520 0.397
Bi 0.353 0.480 0.897
Bi 0.853 0.020 0.897
Bi 0.147 0.980 0.397
W 0.675 0.504 0.171
W 0.325 0.496 0.671
W 0.825 0.004 0.671
W 0.175 0.996 0.171
W 0.324 0.996 0.016
W 0.676 0.004 0.516
W 0.176 0.496 0.516
W 0.824 0.504 0.016
O 0.417 0.757 0.342
O 0.583 0.243 0.842
O 0.083 0.257 0.842
O 0.917 0.743 0.342
O 0.417 0.257 0.345
O 0.583 0.743 0.845
O 0.083 0.757 0.845
O 0.917 0.243 0.345
O 0.249 0.942 0.094
O 0.751 0.058 0.594
O 0.251 0.442 0.594
O 0.749 0.558 0.094
O 0.425 0.291 0.160
O 0.575 0.709 0.660
O 0.075 0.791 0.660
O 0.925 0.209 0.160
O 0.574 0.208 0.027
O 0.426 0.792 0.527
O 0.926 0.708 0.527
O 0.074 0.292 0.027
O 0.272 0.069 0.941
O 0.728 0.931 0.441
O 0.228 0.569 0.441
O 0.772 0.431 0.941
O 0.496 0.785 0.182
O 0.504 0.215 0.682
O 0.004 0.285 0.682
O 0.996 0.715 0.182
O 0.502 0.715 0.005
O 0.498 0.285 0.505
O 0.998 0.215 0.505
O 0.002 0.785 0.005
O 0.727 0.431 0.247
O 0.273 0.569 0.747
O 0.773 0.931 0.747
O 0.227 0.069 0.247

For the raw formation energy, the calculation gives -1.89 eV per atom.

***

6.
Entry from Alexandria: TaZnIn2 at its PBEsol-relaxed geometry (SCAN).

a b c (Å): 3.079 3.079 9.523
angles (deg): 80.70 80.70 60.00
Fractional coordinates of all 4 atoms:
In 0.252 0.252 0.243
In 0.748 0.748 0.757
Ta 0.500 0.500 0.500
Zn 0.000 0.000 0.000

Its energy of formation is 0.8 eV/f.u.

***

7.
Entry from Alexandria: Mg3PdO at its PBEsol-relaxed geometry (SCAN).

a b c (Å): 4.165 4.165 4.165
angles (deg): 90.00 90.00 90.00
Fractional coordinates of all 5 atoms:
Mg 0.000 0.500 0.000
Mg 0.000 0.000 0.500
Mg 0.500 0.000 0.000
O 0.000 0.000 0.000
Pd 0.500 0.500 0.500

For the raw formation energy, the calculation gives -1.35 eV per atom.

***

8.
Entry from Alexandria: CuSiAu at its PBEsol-relaxed geometry (SCAN).

a b c (Å): 2.769 2.769 5.930
angles (deg): 104.10 104.10 87.51
Fractional coordinates of all 3 atoms:
Au 0.003 0.003 0.007
Cu 0.679 0.679 0.358
Si 0.318 0.318 0.635

For the raw formation energy, the calculation gives 0.17 eV per atom. As for the distance to the lowest polymorph of the same formula: 5.53 kcal/mol of atoms.

***

| no. | E (eV/f.u.) |
| --- | --- |
| 1 | -101.3 |
| 2 | -155.7 |
| 3 | -93.0 |
| 4 | -160.7 |
| 5 | -377.1 |
| 6 | -146.1 |
| 7 | -60.7 |
| 8 | -93.9 |